Ce6Al2Ga | PBE | relaxed

a b c (Å): 2.939 8.892 8.892
angles (deg): 120.00 90.00 90.00
Fractional coordinates of all 9 atoms:
Ce1 0.500 0.669 0.669
Ce2 0.500 0.000 0.331
Ga1 0.000 0.000 0.000
Ce3 0.500 0.331 0.000
Ce4 0.500 0.000 0.669
Al1 0.000 0.667 0.333
Al2 0.000 0.333 0.667
Ce5 0.500 0.331 0.331
Ce6 0.500 0.669 0.000

Values from the calculation:
The total energy is -48.26 eV/cell. Its crystal system is hexagonal. The volume is 22.4 A^3/atom. Its density of states at the Fermi level is 22.36 states/eV per cell.